# 1
CaPS2F at its PBEsol-relaxed geometry, computed with meta-GGA SCAN.

## Properties
Formation energy from raw total energies ... 234 kJ/mol of formula units
V ... 29.02 Å³ per atom

```
data_CaPS2F
_cell_length_a 5.170
_cell_length_b 5.170
_cell_length_c 5.430
_cell_angle_alpha 90.00
_cell_angle_beta 90.00
_cell_angle_gamma 90.00
_symmetry_space_group_name_H-M 'P 4/m m m'
_symmetry_Int_Tables_number 123
_symmetry_space_group_name_Hall '-P 4 2'
loop_
_atom_site_label
_atom_site_fract_x
_atom_site_fract_y
_atom_site_fract_z
Ca1 0.000 0.000 0.000
P1 0.000 0.000 0.500
S1 0.000 0.500 0.000
F1 0.500 0.500 0.500
```

---

# 2
CaSi2PF at its PBEsol-relaxed geometry, computed with meta-GGA SCAN.

## Properties
Formation energy from raw total energies ... 186 kJ/mol of formula units
V ... 23.08 Å³ per atom

```
data_CaSi2PF
_cell_length_a 5.371
_cell_length_b 5.371
_cell_length_c 4.001
_cell_angle_alpha 90.00
_cell_angle_beta 90.00
_cell_angle_gamma 90.00
_symmetry_space_group_name_H-M 'P 4/m m m'
_symmetry_Int_Tables_number 123
_symmetry_space_group_name_Hall '-P 4 2'
loop_
_atom_site_label
_atom_site_fract_x
_atom_site_fract_y
_atom_site_fract_z
Ca1 0.000 0.000 0.000
Si1 0.000 0.500 0.000
P1 0.500 0.500 0.500
F1 0.000 0.000 0.500
```